# 1
VASP calculation (PBE-GGA) on an optimized crystal structure of YAgHg2.

Cell lengths 5.006, 5.006, 5.006 Å; angles 60.00, 60.00, 60.00 degrees
Positions (direct):
Hg 0.250 0.250 0.250
Hg 0.000 0.000 0.000
Ag 0.500 0.500 0.500
Y 0.750 0.750 0.750

Computed properties:
total magnetization = 0.00 Bohr magnetons per cell
energy relative to the elements = -7.07 kcal/mol of atoms



# 2
VASP calculation (PBE-GGA) on an optimized crystal structure of Cu5Ag4.

Cell lengths 7.098, 7.098, 7.782 Å; angles 120.57, 120.57, 23.03 degrees
Positions (direct):
Cu 0.443 0.443 0.687
Cu 0.000 0.000 0.000
Cu 0.217 0.217 0.348
Cu 0.557 0.557 0.313
Cu 0.783 0.783 0.652
Ag 0.337 0.337 0.989
Ag 0.663 0.663 0.011
Ag 0.112 0.112 0.650
Ag 0.888 0.888 0.350

Computed properties:
energy relative to the elements = 1.89 kcal/mol of atoms



# 3
VASP calculation (PBE-GGA) on an optimized crystal structure of NdZn2.

Cell lengths 14.289, 3.493, 5.168 Å; angles 90.00, 90.00, 90.00 degrees
Positions (direct):
Zn 0.296 0.500 0.500
Zn 0.796 0.000 0.500
Zn 0.148 0.500 0.000
Zn 0.002 0.000 0.000
Zn 0.442 0.000 0.500
Zn 0.942 0.500 0.500
Zn 0.502 0.500 0.000
Zn 0.648 0.000 0.000
Nd 0.828 0.500 0.000
Nd 0.117 0.000 0.500
Nd 0.328 0.000 0.000
Nd 0.617 0.500 0.500

Computed properties:
total magnetization = 0.01 Bohr magnetons per cell
energy relative to the elements = -4.47 kcal/mol of atoms



# 4
VASP calculation (PBE-GGA) on an optimized crystal structure of AcTbPd.

Cell lengths 5.122, 5.122, 5.122 Å; angles 60.00, 60.00, 60.00 degrees
Positions (direct):
Ac 0.250 0.250 0.250
Tb 0.750 0.750 0.750
Pd 0.000 0.000 0.000

Computed properties:
total magnetization = 0.01 Bohr magnetons per cell
energy relative to the elements = -8.42 kcal/mol of atoms



# 5
VASP calculation (PBE-GGA) on an optimized crystal structure of BaErTe2AuS.

Cell lengths 7.781, 7.781, 10.745 Å; angles 90.00, 90.00, 147.38 degrees
Positions (direct):
Er 0.500 0.500 0.500
Er 0.500 0.500 0.000
Te 0.142 0.858 0.948
Te 0.858 0.142 0.052
Te 0.142 0.858 0.552
Te 0.858 0.142 0.448
S 0.568 0.432 0.250
S 0.432 0.568 0.750
Au 0.977 0.023 0.250
Au 0.023 0.977 0.750
Ba 0.771 0.229 0.750
Ba 0.229 0.771 0.250

Computed properties:
total magnetization = 0.01 Bohr magnetons per cell
energy = -28.04 eV per formula unit



# 6
VASP calculation (PBE-GGA) on an optimized crystal structure of ZrCuTcSb.

Cell lengths 4.598, 4.598, 4.598 Å; angles 60.00, 60.00, 60.00 degrees
Positions (direct):
Sb 0.000 0.000 0.000
Tc 0.250 0.250 0.250
Zr 0.500 0.500 0.500
Cu 0.750 0.750 0.750

Computed properties:
total magnetization = 0.09 Bohr magnetons per cell
energy = -27.12 eV per formula unit



# 7
VASP calculation (PBE-GGA) on an optimized crystal structure of LaHf2Pb2.

Cell lengths 7.439, 7.439, 7.439 Å; angles 99.42, 99.08, 132.72 degrees
Positions (direct):
Pb 0.929 0.939 0.377
Pb 0.562 0.553 0.623
Pb 0.429 0.053 0.990
Pb 0.062 0.439 0.010
Hf 0.641 0.846 0.996
Hf 0.350 0.346 0.205
Hf 0.141 0.145 0.795
Hf 0.850 0.645 0.004
La 0.496 0.996 0.500
La 0.996 0.496 0.500

Computed properties:
total magnetization = 0.91 Bohr magnetons per cell
energy = -32.14 eV per formula unit



# 8
VASP calculation (PBE-GGA) on an optimized crystal structure of ZnO.

Cell lengths 10.736, 10.736, 10.736 Å; angles 17.41, 17.41, 17.41 degrees
Positions (direct):
O 0.354 0.354 0.354
O 0.520 0.520 0.520
O 0.104 0.104 0.104
O 0.937 0.937 0.937
Zn 0.583 0.583 0.583
Zn 0.416 0.416 0.416
Zn 0.000 0.000 0.000
Zn 0.166 0.166 0.166

Computed properties:
energy = -9.09 eV per formula unit